First-principles (GGA+U) data for a geometry-optimized CsCo2RuF8 structure, as listed in Alexandria.

```
CsCo2RuF8
1.0
-2.154 0.094 4.557
-4.302 -2.502 0.806
2.823 -8.548 4.299
F Co Cs Ru
8 2 1 1
Direct
0.412 0.170 0.643
0.774 0.412 0.643
0.830 0.588 0.357
0.226 0.830 0.357
0.702 0.702 0.895
0.170 0.774 0.643
0.588 0.226 0.357
0.298 0.298 0.105
0.233 0.233 0.301
0.767 0.767 0.699
0.000 0.000 0.000
0.500 0.500 0.500
```

Calculated values
DFT total energy ... -4.796 eV per atom
Calculated volume ... 17.5 A^3/atom
DOS at the Fermi energy ... 6.27 states/eV per cell